Entry 1:
{
  "formula": "Sm2Ho5In",
  "functional": "GGA-PBE",
  "state": "optimized geometry",
  "ef_ev_per_atom": -0.1053,
  "lattice": [[5.609, -3.548, 0.000], [5.609, 3.548, 0.000], [-5.577, 0.000, 6.120]],
  "species": ["Sm", "Sm", "Ho", "Ho", "Ho", "Ho", "Ho", "In"],
  "fractional_positions": [[0.000, 0.000, 0.000], [0.110, 0.110, 0.684], [0.088, 0.587, 0.175], [0.518, 0.994, 0.514], [0.575, 0.575, 0.683], [0.587, 0.088, 0.175], [0.994, 0.518, 0.514], [0.516, 0.516, 0.030]]
}

Entry 2:
{
  "formula": "AcBeAl2Os2",
  "functional": "GGA-PBE",
  "state": "optimized geometry",
  "ef_ev_per_atom": -0.3227,
  "lattice": [[4.388, 0.000, 0.000], [0.000, 4.388, 0.000], [0.000, 0.000, 5.730]],
  "species": ["Ac", "Be", "Al", "Al", "Os", "Os"],
  "fractional_positions": [[0.000, 0.000, 0.000], [0.000, 0.000, 0.500], [0.500, 0.500, 0.259], [0.500, 0.500, 0.741], [0.000, 0.500, 0.500], [0.500, 0.000, 0.500]]
}

Entry 3:
{
  "formula": "Mg8Tl3Ga2",
  "functional": "GGA-PBE",
  "state": "optimized geometry",
  "ef_ev_per_atom": -0.0306,
  "lattice": [[4.650, -7.243, 0.000], [4.650, 7.243, 0.000], [0.000, 0.000, 4.706]],
  "species": ["Mg", "Mg", "Mg", "Mg", "Mg", "Mg", "Mg", "Mg", "Tl", "Tl", "Tl", "Ga", "Ga"],
  "fractional_positions": [[0.123, 0.402, 0.500], [0.134, 0.866, 0.000], [0.346, 0.654, 0.000], [0.402, 0.123, 0.500], [0.598, 0.877, 0.500], [0.654, 0.346, 0.000], [0.866, 0.134, 0.000], [0.877, 0.598, 0.500], [0.000, 0.000, 0.500], [0.286, 0.286, 0.000], [0.714, 0.714, 0.000], [0.242, 0.758, 0.500], [0.758, 0.242, 0.500]]
}

Entry 4:
{
  "formula": "AcEr2Sc",
  "functional": "GGA-PBE",
  "state": "optimized geometry",
  "e_above_lowest_polymorph_mev_per_atom": 21,
  "ef_ev_per_atom": 0.1128,
  "lattice": [[1.807, 1.043, 11.431], [-1.807, 1.043, 11.431], [0.000, -2.087, 11.431]],
  "species": ["Ac", "Er", "Er", "Sc"],
  "fractional_positions": [[0.000, 0.000, 0.000], [0.244, 0.244, 0.244], [0.424, 0.424, 0.424], [0.835, 0.835, 0.835]]
}

Q: What is the formula in the second record?
A: AcBeAl2Os2

Q: Number 3 is which compound?
A: Mg8Tl3Ga2